# Ag2HgCl

A relaxed structure of Ag2HgCl (PBE-GGA, Alexandria via LeMat-Bulk).

Properties
Total magnetic moment in μB/atom: 0.000
ΔE to the lowest computed polymorph in eV per atom: 0.347

a b c (Å): 7.057 7.057 7.057
angles (deg): 90.00 90.00 90.00
Space group F-43m (No. 216)
Asymmetric unit:
Ag (0.000, 0.000, 0.000) [4 per cell]
Ag (0.250, 0.250, 0.250) [4 per cell]
Hg (0.250, 0.250, 0.750) [4 per cell]
Cl (0.000, 0.000, 0.500) [4 per cell]

# Na2TlVSe4

A relaxed structure of Na2TlVSe4 (PBE-GGA, Alexandria via LeMat-Bulk).

Properties
Total magnetic moment in μB/atom: 0.000

a b c (Å): 7.653 7.653 8.118
angles (deg): 90.00 90.00 90.00
Space group I-42m (No. 121)
Asymmetric unit:
Na (0.000, 0.500, 0.250) [4 per cell]
Tl (0.000, 0.000, 0.000) [2 per cell]
V (0.000, 0.000, 0.500) [2 per cell]
Se (0.172, 0.172, 0.666) [8 per cell]

# Ag2PRuF

A relaxed structure of Ag2PRuF (PBE-GGA, Alexandria via LeMat-Bulk).

Properties
Total magnetic moment in μB/atom: 0.458

a b c (Å): 4.853 4.853 3.736
angles (deg): 90.00 90.00 90.00
Space group P4/mmm (No. 123)
Asymmetric unit:
Ag (0.000, 0.500, 0.000) [2 per cell]
P (0.000, 0.000, 0.000) [1 per cell]
Ru (0.500, 0.500, 0.500) [1 per cell]
F (0.000, 0.000, 0.500) [1 per cell]

Formation energy from raw total energies across the listed records, respectively: 198; -766; 458 meV/atom.
Final energy across the listed records, respectively: -1.765; -4.274; -3.994 eV per atom.